(1)
VASP calculation (PBE-GGA) on crystalline Li4AlCu3 at its relaxed geometry.

## Properties
Symmetry: C2/m
Crystal system: monoclinic

Unit cell a=3.8487 b=3.9698 c=7.6824 alpha=104.80 beta=104.51 gamma=90.00
Fractional positions:
Al  0.5000  0.0000  0.0000
Cu  0.0000  0.5000  0.0000
Cu  0.8839  0.8855  0.7678
Cu  0.1161  0.1145  0.2322
Li  0.7500  0.2498  0.5000
Li  0.2500  0.7502  0.5000
Li  0.3753  0.3760  0.7505
Li  0.6247  0.6240  0.2495


(2)
VASP calculation (PBE-GGA) on crystalline Pr3Er at its relaxed geometry.

## Properties
Symmetry: Pm-3m
Energy relative to the lowest polymorph listed for this composition (meV/atom): 0
Crystal system: cubic

Unit cell a=5.1748 b=5.1748 c=5.1748 alpha=90.00 beta=90.00 gamma=90.00
Fractional positions:
Pr  0.0000  0.5000  0.5000
Pr  0.5000  0.0000  0.5000
Pr  0.5000  0.5000  0.0000
Er  0.0000  0.0000  0.0000


(3)
VASP calculation (PBE-GGA) on crystalline BaZr2Sc at its relaxed geometry.

## Properties
Symmetry: I4/mmm
Energy relative to the lowest polymorph listed for this composition (meV/atom): 257
Crystal system: tetragonal

Unit cell a=5.9778 b=5.9778 c=5.9778 alpha=133.68 beta=133.68 gamma=67.59
Fractional positions:
Ba  0.2500  0.7500  0.5000
Sc  0.7500  0.2500  0.5000
Zr  0.0000  0.0000  0.0000
Zr  0.5000  0.5000  0.0000


The evaluated energy of formation from the pure elements for the records listed, in turn: -84; 14; 539 meV/atom.